Record 1
# Sc5Al2Ir2Pd, relaxed, DFT PBE
# volume = 19.96 A^3/atom
# E_form = -0.621 eV per atom
# total magnetization = 0.000 μB/f.u.
data_Sc5Al2Ir2Pd
_symmetry_space_group_name_H-M 'P 1'
_symmetry_Int_Tables_number 1
_cell_length_a 10.812
_cell_length_b 10.812
_cell_length_c 3.416
_cell_angle_alpha 90.00
_cell_angle_beta 90.00
_cell_angle_gamma 90.00
loop_
_symmetry_equiv_pos_as_xyz
'x,y,z'
loop_
_atom_site_label
_atom_site_fract_x
_atom_site_fract_y
_atom_site_fract_z
Sc1 0.000 0.500 0.000
Sc2 0.074 0.195 0.000
Sc3 0.195 0.926 0.000
Sc4 0.305 0.426 0.000
Sc5 0.426 0.695 0.000
Sc6 0.500 0.000 0.000
Sc7 0.574 0.305 0.000
Sc8 0.695 0.574 0.000
Sc9 0.805 0.074 0.000
Sc10 0.926 0.805 0.000
Al1 0.174 0.674 0.500
Al2 0.326 0.174 0.500
Al3 0.674 0.826 0.500
Al4 0.826 0.326 0.500
Ir1 0.138 0.362 0.500
Ir2 0.362 0.862 0.500
Ir3 0.638 0.138 0.500
Ir4 0.862 0.638 0.500
Pd1 0.000 0.000 0.500
Pd2 0.500 0.500 0.500


Record 2
# InAsW, relaxed, DFT PBE
# volume = 18.44 A^3/atom
# E_form = 0.530 eV per atom
# offset from the most stable computed form = 312 meV per atom
# total magnetization = 0.000 μB/f.u.
data_InAsW
_symmetry_space_group_name_H-M 'P 1'
_symmetry_Int_Tables_number 1
_cell_length_a 4.738
_cell_length_b 4.738
_cell_length_c 2.846
_cell_angle_alpha 90.00
_cell_angle_beta 90.00
_cell_angle_gamma 120.00
loop_
_symmetry_equiv_pos_as_xyz
'x,y,z'
loop_
_atom_site_label
_atom_site_fract_x
_atom_site_fract_y
_atom_site_fract_z
In1 0.000 0.000 0.000
As1 0.333 0.667 0.500
W1 0.667 0.333 0.500


Record 3
# NbNi2Pd2, relaxed, DFT PBE
# volume = 14.24 A^3/atom
# E_form = -0.050 eV per atom
# offset from the most stable computed form = 0 meV per atom
# total magnetization = 0.000 μB/f.u.
data_NbNi2Pd2
_symmetry_space_group_name_H-M 'P 1'
_symmetry_Int_Tables_number 1
_cell_length_a 6.899
_cell_length_b 6.899
_cell_length_c 2.993
_cell_angle_alpha 90.00
_cell_angle_beta 90.00
_cell_angle_gamma 90.00
loop_
_symmetry_equiv_pos_as_xyz
'x,y,z'
loop_
_atom_site_label
_atom_site_fract_x
_atom_site_fract_y
_atom_site_fract_z
Nb1 0.000 0.000 0.000
Nb2 0.500 0.500 0.000
Ni1 0.134 0.366 0.000
Ni2 0.366 0.866 0.000
Ni3 0.634 0.134 0.000
Ni4 0.866 0.634 0.000
Pd1 0.162 0.662 0.500
Pd2 0.338 0.162 0.500
Pd3 0.662 0.838 0.500
Pd4 0.838 0.338 0.500


Record 4
# Te2AuCN, relaxed, DFT PBE
# volume = 23.92 A^3/atom
# offset from the most stable computed form = 1326 meV per atom
# uncorrected formation energy = 2.229 eV per atom
# total magnetization = 1.047 μB/f.u.
data_Te2AuCN
_symmetry_space_group_name_H-M 'P 1'
_symmetry_Int_Tables_number 1
_cell_length_a 5.650
_cell_length_b 5.650
_cell_length_c 3.746
_cell_angle_alpha 90.00
_cell_angle_beta 90.00
_cell_angle_gamma 90.00
loop_
_symmetry_equiv_pos_as_xyz
'x,y,z'
loop_
_atom_site_label
_atom_site_fract_x
_atom_site_fract_y
_atom_site_fract_z
Te1 0.000 0.500 0.000
Te2 0.500 0.000 0.000
Au1 0.000 0.000 0.000
C1 0.500 0.500 0.500
N1 0.000 0.000 0.500


Record 5
# PmNd2Al, relaxed, DFT PBE
# volume = 30.42 A^3/atom
# E_form = -0.151 eV per atom
# offset from the most stable computed form = 30 meV per atom
# total magnetization = 0.000 μB/f.u.
data_PmNd2Al
_symmetry_space_group_name_H-M 'P 1'
_symmetry_Int_Tables_number 1
_cell_length_a 3.598
_cell_length_b 3.598
_cell_length_c 9.401
_cell_angle_alpha 90.00
_cell_angle_beta 90.00
_cell_angle_gamma 90.00
loop_
_symmetry_equiv_pos_as_xyz
'x,y,z'
loop_
_atom_site_label
_atom_site_fract_x
_atom_site_fract_y
_atom_site_fract_z
Pm1 0.000 0.000 0.000
Nd1 0.500 0.500 0.287
Nd2 0.500 0.500 0.713
Al1 0.000 0.000 0.500


Record 6
# Ac3MgCd2Pd9, relaxed, DFT PBE
# volume = 23.85 A^3/atom
# E_form = -0.290 eV per atom
# total magnetization = 0.000 μB/f.u.
data_Ac3MgCd2Pd9
_symmetry_space_group_name_H-M 'P 1'
_symmetry_Int_Tables_number 1
_cell_length_a 7.667
_cell_length_b 7.667
_cell_length_c 7.027
_cell_angle_alpha 90.00
_cell_angle_beta 90.00
_cell_angle_gamma 120.00
loop_
_symmetry_equiv_pos_as_xyz
'x,y,z'
loop_
_atom_site_label
_atom_site_fract_x
_atom_site_fract_y
_atom_site_fract_z
Ac1 0.000 0.000 0.000
Ac2 0.333 0.667 0.676
Ac3 0.667 0.333 0.324
Mg1 0.000 0.000 0.500
Cd1 0.333 0.667 0.186
Cd2 0.667 0.333 0.814
Pd1 0.000 0.500 0.000
Pd2 0.157 0.314 0.332
Pd3 0.157 0.843 0.332
Pd4 0.314 0.157 0.668
Pd5 0.500 0.000 0.000
Pd6 0.500 0.500 0.000
Pd7 0.686 0.843 0.332
Pd8 0.843 0.157 0.668
Pd9 0.843 0.686 0.668


Record 7
# LiYBr2, relaxed, DFT PBE
# volume = 30.88 A^3/atom
# offset from the most stable computed form = 167 meV per atom
# uncorrected formation energy = -1.051 eV per atom
# total magnetization = 0.171 μB/f.u.
data_LiYBr2
_symmetry_space_group_name_H-M 'P 1'
_symmetry_Int_Tables_number 1
_cell_length_a 5.585
_cell_length_b 5.585
_cell_length_c 7.534
_cell_angle_alpha 118.78
_cell_angle_beta 118.78
_cell_angle_gamma 37.61
loop_
_symmetry_equiv_pos_as_xyz
'x,y,z'
loop_
_atom_site_label
_atom_site_fract_x
_atom_site_fract_y
_atom_site_fract_z
Li1 0.000 0.000 0.000
Y1 0.792 0.792 0.356
Br1 0.353 0.353 0.702
Br2 0.483 0.483 0.287


Record 8
# ZnCdPt, relaxed, DFT PBE
# volume = 17.17 A^3/atom
# E_form = -0.162 eV per atom
# total magnetization = 0.000 μB/f.u.
data_ZnCdPt
_symmetry_space_group_name_H-M 'P 1'
_symmetry_Int_Tables_number 1
_cell_length_a 2.981
_cell_length_b 2.981
_cell_length_c 6.690
_cell_angle_alpha 90.00
_cell_angle_beta 90.00
_cell_angle_gamma 120.00
loop_
_symmetry_equiv_pos_as_xyz
'x,y,z'
loop_
_atom_site_label
_atom_site_fract_x
_atom_site_fract_y
_atom_site_fract_z
Zn1 0.000 0.000 0.000
Cd1 0.667 0.333 0.355
Pt1 0.333 0.667 0.704


Record 9
# GaB2Ru2, relaxed, DFT PBE
# volume = 11.04 A^3/atom
# E_form = -0.277 eV per atom
# offset from the most stable computed form = 0 meV per atom
# total magnetization = 0.000 μB/f.u.
data_GaB2Ru2
_symmetry_space_group_name_H-M 'P 1'
_symmetry_Int_Tables_number 1
_cell_length_a 6.774
_cell_length_b 6.774
_cell_length_c 6.774
_cell_angle_alpha 155.06
_cell_angle_beta 155.06
_cell_angle_gamma 35.57
loop_
_symmetry_equiv_pos_as_xyz
'x,y,z'
loop_
_atom_site_label
_atom_site_fract_x
_atom_site_fract_y
_atom_site_fract_z
Ga1 0.000 0.000 0.000
B1 0.250 0.750 0.500
B2 0.750 0.250 0.500
Ru1 0.376 0.376 0.000
Ru2 0.624 0.624 0.000


What is the volume in the first record?
19.96 A^3/atom


What did the seventh record say?
# LiYBr2, relaxed, DFT PBE
# volume = 30.88 A^3/atom
# offset from the most stable computed form = 167 meV per atom
# uncorrected formation energy = -1.051 eV per atom
# total magnetization = 0.171 μB/f.u.
data_LiYBr2
_symmetry_space_group_name_H-M 'P 1'
_symmetry_Int_Tables_number 1
_cell_length_a 5.585
_cell_length_b 5.585
_cell_length_c 7.534
_cell_angle_alpha 118.78
_cell_angle_beta 118.78
_cell_angle_gamma 37.61
loop_
_symmetry_equiv_pos_as_xyz
'x,y,z'
loop_
_atom_site_label
_atom_site_fract_x
_atom_site_fract_y
_atom_site_fract_z
Li1 0.000 0.000 0.000
Y1 0.792 0.792 0.356
Br1 0.353 0.353 0.702
Br2 0.483 0.483 0.287